The following is a DFT calculation (PBE-GGA) of a geometry-optimized LaIrS2 structure.

Cell: 8.226 8.226 8.226 Å, 26.12 26.12 26.12°
Atoms (fractional coordinates):
1 S 0.880 0.880 0.880
2 S 0.120 0.120 0.120
3 Ir 0.500 0.500 0.500
4 La 0.000 0.000 0.000

Energy relative to the elements, uncorrected: -0.4911 eV/atom
SG: R-3m, No. 166
ρ: 6.9 g/cm3
DOS at the Fermi energy: 2.3 states/eV per cell

The following is a DFT calculation (PBE-GGA) of a geometry-optimized La3IrS2 structure.

Cell: 4.220 4.220 9.305 Å, 103.10 103.10 90.02°
Atoms (fractional coordinates):
1 La 0.934 0.936 0.874
2 La 0.274 0.275 0.553
3 La 0.595 0.596 0.195
4 Ir 0.434 0.436 0.874
5 S 0.105 0.106 0.214
6 S 0.764 0.765 0.533

Energy relative to the elements, uncorrected: -1.6560 eV/atom
SG: I4/mmm, No. 139
ρ: 7.1 g/cm3
DOS at the Fermi energy: 3.5 states/eV per cell

The following is a DFT calculation (PBE-GGA) of a geometry-optimized LaIr3S structure.

Cell: 4.560 4.560 4.560 Å, 90.00 90.00 90.00°
Atoms (fractional coordinates):
1 S 0.000 0.000 0.000
2 Ir 0.000 0.500 0.000
3 Ir 0.000 0.000 0.500
4 Ir 0.500 0.000 0.000
5 La 0.500 0.500 0.500

Energy relative to the elements, uncorrected: 0.0036 eV/atom
SG: Pm-3m, No. 221
ρ: 13.1 g/cm3
DOS at the Fermi energy: 4.8 states/eV per cell